(1)
Density functional theory data (GGA+U) for a geometry-optimized PaZnFe2O6 structure.

Calculated values
DOS at the Fermi energy: 0.00 states/eV per cell
Size of the total moment: 9.001 μB per formula unit

Cell lengths 5.4443, 5.4443, 14.2471 Å; angles 90.00, 90.00, 120.00 degrees
Space group R3 (No. 146, hexagonal axes)
One atom of each set of equivalent atoms:
Pa 0.0000 0.0000 0.0000 [3 per cell]
Zn 0.0000 0.0000 0.4934 [3 per cell]
Fe 0.0000 0.0000 0.2103 [3 per cell]
Fe 0.0000 0.0000 0.7047 [3 per cell]
O 0.0290 0.3443 0.7682 [9 per cell]
O 0.0463 0.6773 0.2719 [9 per cell]

=====

(2)
Density functional theory data (GGA+U) for a geometry-optimized PaZnFeO6 structure.

Calculated values
DOS at the Fermi energy: 5.56 states/eV per cell
Size of the total moment: 3.070 μB per formula unit

Cell lengths 5.1399, 5.1399, 4.7641 Å; angles 90.00, 90.00, 120.00 degrees
Space group P312 (No. 149)
One atom of each set of equivalent atoms:
Pa 0.0000 0.0000 0.0000 [1 per cell]
Zn 0.3333 0.6667 0.5000 [1 per cell]
Fe 0.6667 0.3333 0.5000 [1 per cell]
O 0.3539 0.0185 0.7321 [6 per cell]

=====

(3)
Density functional theory data (GGA+U) for a geometry-optimized FePbO3 structure.

Calculated values
DOS at the Fermi energy: 2.52 states/eV per cell
Size of the total moment: 4.008 μB per formula unit

Cell lengths 4.1600, 4.1600, 4.1600 Å; angles 90.00, 90.00, 90.00 degrees
Space group Pm-3m (No. 221)
One atom of each set of equivalent atoms:
Fe 0.0000 0.0000 0.0000 [1 per cell]
Pb 0.5000 0.5000 0.5000 [1 per cell]
O 0.0000 0.5000 0.5000 [3 per cell]

=====

(4)
Density functional theory data (GGA+U) for a geometry-optimized FePb3O structure.

Calculated values
DOS at the Fermi energy: 0.00 states/eV per cell
Size of the total moment: 0.000 μB per formula unit

Cell lengths 4.9470, 4.9470, 4.9470 Å; angles 90.00, 90.00, 90.00 degrees
Space group Pm-3m (No. 221)
One atom of each set of equivalent atoms:
Fe 0.0000 0.0000 0.0000 [1 per cell]
Pb 0.0000 0.0000 0.5000 [3 per cell]
O 0.5000 0.5000 0.5000 [1 per cell]

=====

(5)
Density functional theory data (GGA+U) for a geometry-optimized FePb3O structure.

Calculated values
DOS at the Fermi energy: 6.21 states/eV per cell
Size of the total moment: 3.697 μB per formula unit

Cell lengths 4.9767, 4.9767, 4.9767 Å; angles 90.00, 90.00, 90.00 degrees
Space group Pm-3m (No. 221)
One atom of each set of equivalent atoms:
Fe 0.0000 0.0000 0.0000 [1 per cell]
Pb 0.0000 0.5000 0.5000 [3 per cell]
O 0.5000 0.5000 0.5000 [1 per cell]

=====

(6)
Density functional theory data (GGA+U) for a geometry-optimized FePbO3 structure.

Calculated values
DOS at the Fermi energy: 5.08 states/eV per cell
Size of the total moment: 4.249 μB per formula unit

Cell lengths 3.4695, 13.4889, 6.1028 Å; angles 90.00, 90.00, 90.00 degrees
Space group Cmcm (No. 63)
One atom of each set of equivalent atoms:
Fe 0.0000 0.0663 0.2500 [4 per cell]
Pb 0.0000 0.3288 0.2500 [4 per cell]
O 0.0000 0.1562 0.0119 [8 per cell]
O 0.0000 0.4977 0.7500 [4 per cell]

=====

(7)
Density functional theory data (GGA+U) for a geometry-optimized Fe2PbO4 structure.

Calculated values
Size of the total moment: 10.000 μB per formula unit

Cell lengths 7.7568, 7.7568, 7.2137 Å; angles 90.00, 90.00, 90.00 degrees
Space group I-42d (No. 122)
One atom of each set of equivalent atoms:
Fe 0.0773 0.7500 0.1250 [8 per cell]
Pb 0.0000 0.0000 0.5000 [4 per cell]
O 0.0515 0.2242 0.8966 [16 per cell]

=====

(8)
Density functional theory data (GGA+U) for a geometry-optimized FePb2O structure.

Calculated values
DOS at the Fermi energy: 9.96 states/eV per cell
Size of the total moment: 3.560 μB per formula unit

Cell lengths 5.7333, 5.7333, 13.0271 Å; angles 90.00, 90.00, 90.00 degrees
Space group I-42d (No. 122)
One atom of each set of equivalent atoms:
Fe 0.0000 0.0000 0.0000 [4 per cell]
Pb 0.1729 0.2500 0.6250 [8 per cell]
O 0.0000 0.0000 0.5000 [4 per cell]

=====

(9)
Density functional theory data (GGA+U) for a geometry-optimized FePbO4 structure.

Calculated values
DOS at the Fermi energy: 0.33 states/eV per cell
Size of the total moment: 3.997 μB per formula unit

Cell lengths 6.9340, 6.9340, 6.3503 Å; angles 90.00, 90.00, 90.00 degrees
Space group I4_1md (No. 109)
One atom of each set of equivalent atoms:
Fe 0.0000 0.0000 0.0000 [4 per cell]
Pb 0.0000 0.0000 0.5001 [4 per cell]
O 0.0000 0.3129 0.0280 [8 per cell]
O 0.0000 0.3143 0.4741 [8 per cell]

=====

(10)
Density functional theory data (GGA+U) for a geometry-optimized FePbO structure.

Calculated values
DOS at the Fermi energy: 1.97 states/eV per cell
Size of the total moment: 4.168 μB per formula unit

Cell lengths 3.9881, 3.7864, 9.2960 Å; angles 90.00, 90.83, 90.00 degrees
Space group P2_1/m (No. 11)
One atom of each set of equivalent atoms:
Fe 0.2481 0.2500 0.4451 [2 per cell]
Pb 0.2542 0.2500 0.1057 [2 per cell]
O 0.2511 0.7500 0.5336 [2 per cell]

=====

(11)
Density functional theory data (GGA+U) for a geometry-optimized Pm2FePbO6 structure.

Calculated values
DOS at the Fermi energy: 1.78 states/eV per cell
Size of the total moment: 4.364 μB per formula unit

Cell lengths 5.4318, 5.4318, 5.3581 Å; angles 90.00, 90.00, 90.00 degrees
Space group P4mm (No. 99)
One atom of each set of equivalent atoms:
Pm 0.0000 0.5000 0.0000 [2 per cell]
Fe 0.0000 0.0000 0.6018 [1 per cell]
Pb 0.5000 0.5000 0.5587 [1 per cell]
O 0.0000 0.0000 0.2471 [1 per cell]
O 0.2379 0.2379 0.7534 [4 per cell]
O 0.5000 0.5000 0.1430 [1 per cell]

=====

(12)
Density functional theory data (GGA+U) for a geometry-optimized PmFePbO4 structure.

Calculated values
DOS at the Fermi energy: 0.00 states/eV per cell
Size of the total moment: 5.000 μB per formula unit

Cell lengths 6.1683, 5.9179, 7.1343 Å; angles 90.00, 100.06, 90.00 degrees
Space group P2_1/m (No. 11)
One atom of each set of equivalent atoms:
Pm 0.1834 0.2500 0.0839 [2 per cell]
Fe 0.3060 0.7500 0.8480 [2 per cell]
Pb 0.2898 0.2500 0.6314 [2 per cell]
O 0.0939 0.5086 0.8269 [4 per cell]
O 0.4899 0.7500 0.0877 [2 per cell]
O 0.4927 0.2500 0.3192 [2 per cell]

=====

| no. | total energy (eV for the cell shown) |
| --- | --- |
| 1 | -218.48 |
| 2 | -63.36 |
| 3 | -24.72 |
| 4 | -17.13 |
| 5 | -20.45 |
| 6 | -118.85 |
| 7 | -173.62 |
| 8 | -68.55 |
| 9 | -137.32 |
| 10 | -32.70 |
| 11 | -69.76 |
| 12 | -94.97 |